Entry 1:
First-principles (GGA-PBEsol) data for crystalline TaTl2Si at its relaxed geometry, as listed in Alexandria via LeMat-Bulk.

Computed properties:
Raw formation energy   585 meV/atom

```
data_TaTl2Si
_chemical_formula_sum 'Ta1 Tl2 Si1'
_symmetry_space_group_name_H-M 'P m m m'
_symmetry_Int_Tables_number 47
_cell_length_a 3.030
_cell_length_b 5.063
_cell_length_c 5.286
_cell_angle_alpha 90.00
_cell_angle_beta 90.00
_cell_angle_gamma 90.00
loop_
_symmetry_equiv_pos_as_xyz
'x,y,z'
'-x,-y,-z'
'-x,-y,z'
'x,y,-z'
'x,-y,-z'
'-x,y,z'
'-x,y,-z'
'x,-y,z'
loop_
_atom_site_label
_atom_site_type_symbol
_atom_site_fract_x
_atom_site_fract_y
_atom_site_fract_z
Ta1 Ta 0.000 0.000 0.000
Tl1 Tl 0.000 0.500 0.500
Tl2 Tl 0.500 0.000 0.500
Si1 Si 0.500 0.500 0.000
```

Entry 2:
First-principles (GGA-PBEsol) data for crystalline ReNi2As at its relaxed geometry, as listed in Alexandria via LeMat-Bulk.

Computed properties:
DFT formation energy   0.069 eV per atom

```
data_ReNi2As
_chemical_formula_sum 'Re1 Ni2 As1'
_symmetry_space_group_name_H-M 'P m m 2'
_symmetry_Int_Tables_number 25
_cell_length_a 2.674
_cell_length_b 4.056
_cell_length_c 4.600
_cell_angle_alpha 90.00
_cell_angle_beta 90.00
_cell_angle_gamma 90.00
loop_
_symmetry_equiv_pos_as_xyz
'x,y,z'
'-x,-y,z'
'-x,y,z'
'x,-y,z'
loop_
_atom_site_label
_atom_site_type_symbol
_atom_site_fract_x
_atom_site_fract_y
_atom_site_fract_z
Re1 Re 0.000 0.000 0.000
Ni1 Ni 0.500 0.000 0.491
Ni2 Ni 0.500 0.500 0.198
As1 As 0.000 0.500 0.653
```

Entry 3:
First-principles (GGA-PBEsol) data for crystalline ZrB3S at its relaxed geometry, as listed in Alexandria via LeMat-Bulk.

Computed properties:
Raw formation energy   1028 meV/atom

```
data_ZrB3S
_chemical_formula_sum 'Zr1 B3 S1'
_symmetry_space_group_name_H-M 'P m -3 m'
_symmetry_Int_Tables_number 221
_symmetry_space_group_name_Hall '-P 4 2 3'
_cell_length_a 3.836
_cell_length_b 3.836
_cell_length_c 3.836
_cell_angle_alpha 90.00
_cell_angle_beta 90.00
_cell_angle_gamma 90.00
loop_
_atom_site_label
_atom_site_type_symbol
_atom_site_fract_x
_atom_site_fract_y
_atom_site_fract_z
Zr1 Zr 0.000 0.000 0.000
B1 B 0.000 0.500 0.500
S1 S 0.500 0.500 0.500
```

Entry 4:
First-principles (GGA-PBEsol) data for crystalline LiTiRhO4 at its relaxed geometry, as listed in Alexandria via LeMat-Bulk.

Computed properties:
Raw formation energy   -2062 meV/atom

```
data_LiTiRhO4
_chemical_formula_sum 'Li4 Ti4 Rh4 O16'
_symmetry_space_group_name_H-M 'I m m a'
_symmetry_Int_Tables_number 74
_symmetry_space_group_name_Hall '-I 2b 2'
_cell_length_a 5.904
_cell_length_b 6.129
_cell_length_c 8.038
_cell_angle_alpha 90.00
_cell_angle_beta 90.00
_cell_angle_gamma 90.00
loop_
_atom_site_label
_atom_site_type_symbol
_atom_site_fract_x
_atom_site_fract_y
_atom_site_fract_z
Li1 Li 0.000 0.250 0.133
Ti1 Ti 0.250 0.250 0.750
Rh1 Rh 0.000 0.000 0.500
O1 O 0.000 0.035 0.753
O2 O 0.226 0.250 0.505
```

Entry 5:
First-principles (GGA-PBEsol) data for crystalline SiP2O2 at its relaxed geometry, as listed in Alexandria via LeMat-Bulk.

Computed properties:
Raw formation energy   -512 meV/atom

```
data_SiP2O2
_chemical_formula_sum 'Si1 P2 O2'
_symmetry_space_group_name_H-M 'P 4/m m m'
_symmetry_Int_Tables_number 123
_symmetry_space_group_name_Hall '-P 4 2'
_cell_length_a 3.476
_cell_length_b 3.476
_cell_length_c 4.568
_cell_angle_alpha 90.00
_cell_angle_beta 90.00
_cell_angle_gamma 90.00
loop_
_atom_site_label
_atom_site_type_symbol
_atom_site_fract_x
_atom_site_fract_y
_atom_site_fract_z
Si1 Si 0.000 0.000 0.000
P1 P 0.500 0.500 0.000
P2 P 0.500 0.500 0.500
O1 O 0.000 0.500 0.500
```

Entry 6:
First-principles (GGA-PBEsol) data for crystalline Tb3Si2Cl5O6 at its relaxed geometry, as listed in Alexandria via LeMat-Bulk.

Computed properties:
Raw formation energy   -2794 meV/atom

```
data_Tb3Si2Cl5O6
_chemical_formula_sum 'Tb12 Si8 Cl20 O24'
_symmetry_space_group_name_H-M 'C 1 2/m 1'
_symmetry_Int_Tables_number 12
_cell_length_a 10.585
_cell_length_b 10.353
_cell_length_c 11.570
_cell_angle_alpha 90.00
_cell_angle_beta 103.30
_cell_angle_gamma 90.00
loop_
_symmetry_equiv_pos_as_xyz
'x,y,z'
'-x,-y,-z'
'-x,y,-z'
'x,-y,z'
'x+1/2,y+1/2,z'
'-x+1/2,-y+1/2,-z'
'-x+1/2,y+1/2,-z'
'x+1/2,-y+1/2,z'
loop_
_atom_site_label
_atom_site_type_symbol
_atom_site_fract_x
_atom_site_fract_y
_atom_site_fract_z
Tb1 Tb 0.166 0.250 0.168
Tb2 Tb 0.250 0.250 0.500
Si1 Si 0.037 0.146 0.646
Cl1 Cl 0.105 0.224 0.920
Cl2 Cl 0.126 0.500 0.138
Cl3 Cl 0.190 0.500 0.499
Cl4 Cl 0.215 0.000 0.160
O1 O 0.000 0.141 0.500
O2 O 0.049 0.000 0.698
O3 O 0.088 0.221 0.327
O4 O 0.175 0.220 0.673
```

Entry 7:
First-principles (GGA-PBEsol) data for crystalline RbNa2Ga2 at its relaxed geometry, as listed in Alexandria via LeMat-Bulk.

Computed properties:
DFT formation energy   0.091 eV per atom

```
data_RbNa2Ga2
_chemical_formula_sum 'Rb2 Na4 Ga4'
_symmetry_space_group_name_H-M 'I 4/m m m'
_symmetry_Int_Tables_number 139
_symmetry_space_group_name_Hall '-I 4 2'
_cell_length_a 5.570
_cell_length_b 5.570
_cell_length_c 10.106
_cell_angle_alpha 90.00
_cell_angle_beta 90.00
_cell_angle_gamma 90.00
loop_
_atom_site_label
_atom_site_type_symbol
_atom_site_fract_x
_atom_site_fract_y
_atom_site_fract_z
Rb1 Rb 0.000 0.000 0.000
Na1 Na 0.000 0.500 0.250
Ga1 Ga 0.000 0.000 0.381
```

Entry 8:
First-principles (GGA-PBEsol) data for crystalline Er2AlZn at its relaxed geometry, as listed in Alexandria via LeMat-Bulk.

Computed properties:
DFT formation energy   -0.381 eV per atom

```
data_Er2AlZn
_chemical_formula_sum 'Er8 Al4 Zn4'
_symmetry_space_group_name_H-M 'F m -3 m'
_symmetry_Int_Tables_number 225
_symmetry_space_group_name_Hall '-F 4 2 3'
_cell_length_a 7.006
_cell_length_b 7.006
_cell_length_c 7.006
_cell_angle_alpha 90.00
_cell_angle_beta 90.00
_cell_angle_gamma 90.00
loop_
_atom_site_label
_atom_site_type_symbol
_atom_site_fract_x
_atom_site_fract_y
_atom_site_fract_z
Er1 Er 0.250 0.250 0.250
Al1 Al 0.000 0.000 0.000
Zn1 Zn 0.000 0.000 0.500
```

Entry 9:
First-principles (GGA-PBEsol) data for crystalline SiAsCl at its relaxed geometry, as listed in Alexandria via LeMat-Bulk.

Computed properties:
Raw formation energy   221 meV/atom

```
data_SiAsCl
_chemical_formula_sum 'Si1 As1 Cl1'
_symmetry_space_group_name_H-M 'P 3 m 1'
_symmetry_Int_Tables_number 156
_cell_length_a 4.5421
_cell_length_b 4.5421
_cell_length_c 2.9048
_cell_angle_alpha 90.00
_cell_angle_beta 90.00
_cell_angle_gamma 120.00
loop_
_symmetry_equiv_pos_as_xyz
'x,y,z'
'-y,x-y,z'
'-x+y,-x,z'
'-y,-x,z'
'-x+y,y,z'
'x,x-y,z'
loop_
_atom_site_label
_atom_site_type_symbol
_atom_site_fract_x
_atom_site_fract_y
_atom_site_fract_z
Si1 Si 0.0000 0.0000 0.0000
As1 As 0.6667 0.3333 0.9980
Cl1 Cl 0.3333 0.6667 0.4980
```

Entry 10:
First-principles (GGA-PBEsol) data for crystalline GdSi2Rh2 at its relaxed geometry, as listed in Alexandria via LeMat-Bulk.

Computed properties:
Raw formation energy   -1164 meV/atom

```
data_GdSi2Rh2
_chemical_formula_sum 'Gd2 Si4 Rh4'
_symmetry_space_group_name_H-M 'I 4/m m m'
_symmetry_Int_Tables_number 139
_symmetry_space_group_name_Hall '-I 4 2'
_cell_length_a 4.018
_cell_length_b 4.018
_cell_length_c 9.957
_cell_angle_alpha 90.00
_cell_angle_beta 90.00
_cell_angle_gamma 90.00
loop_
_atom_site_label
_atom_site_type_symbol
_atom_site_fract_x
_atom_site_fract_y
_atom_site_fract_z
Gd1 Gd 0.000 0.000 0.000
Si1 Si 0.000 0.000 0.378
Rh1 Rh 0.000 0.500 0.250
```

Entry 11:
First-principles (GGA-PBEsol) data for crystalline TaSb2TeRu at its relaxed geometry, as listed in Alexandria via LeMat-Bulk.

Computed properties:
Raw formation energy   1319 meV/atom

```
data_TaSb2TeRu
_chemical_formula_sum 'Ta1 Sb2 Te1 Ru1'
_symmetry_space_group_name_H-M 'P 4/m m m'
_symmetry_Int_Tables_number 123
_symmetry_space_group_name_Hall '-P 4 2'
_cell_length_a 5.244
_cell_length_b 5.244
_cell_length_c 5.202
_cell_angle_alpha 90.00
_cell_angle_beta 90.00
_cell_angle_gamma 90.00
loop_
_atom_site_label
_atom_site_type_symbol
_atom_site_fract_x
_atom_site_fract_y
_atom_site_fract_z
Ta1 Ta 0.000 0.000 0.000
Sb1 Sb 0.000 0.500 0.000
Te1 Te 0.000 0.000 0.500
Ru1 Ru 0.500 0.500 0.500
```

Entry 12:
First-principles (GGA-PBEsol) data for crystalline TiHAu2Br at its relaxed geometry, as listed in Alexandria via LeMat-Bulk.

Computed properties:
Total energy   -17.7 eV for the cell shown

```
data_TiHAu2Br
_chemical_formula_sum 'Ti1 H1 Au2 Br1'
_symmetry_space_group_name_H-M 'P 4/m m m'
_symmetry_Int_Tables_number 123
_symmetry_space_group_name_Hall '-P 4 2'
_cell_length_a 5.009
_cell_length_b 5.009
_cell_length_c 4.885
_cell_angle_alpha 90.00
_cell_angle_beta 90.00
_cell_angle_gamma 90.00
loop_
_atom_site_label
_atom_site_type_symbol
_atom_site_fract_x
_atom_site_fract_y
_atom_site_fract_z
Ti1 Ti 0.000 0.000 0.000
H1 H 0.500 0.500 0.500
Au1 Au 0.000 0.500 0.000
Br1 Br 0.000 0.000 0.500
```

Question: Which formula does entry 9 have?
Answer: SiAsCl